[1]
A plane-wave DFT calculation with PBE was carried out for a geometry-optimized Pm2NdNpP4 structure.

Unit cell a=4.0877 b=7.0920 c=7.0887 alpha=109.31 beta=90.00 gamma=90.00
Last column: nearest neighbours and their distance in Å.
Positions (direct):
Pm (0.5000, 0.0000, 0.5000)  6 P 2.88-2.89
Pm (0.0000, 0.5000, 0.5000)  6 P 2.95-2.97
Nd (0.5000, 0.5000, 0.0000)  6 P 2.90
Np (0.0000, 0.0000, 0.0000)  6 P 2.82-2.84
P (0.5000, 0.2391, 0.2406)  2 Np 2.84, 3 Pm 2.88-2.95, 1 Nd 2.90
P (0.5000, 0.7609, 0.7594)  2 Np 2.84, 3 Pm 2.88-2.95, 1 Nd 2.90
P (0.0000, 0.2420, 0.7551)  1 Np 2.82, 3 Pm 2.89-2.97, 2 Nd 2.90
P (0.0000, 0.7580, 0.2449)  1 Np 2.82, 3 Pm 2.89-2.97, 2 Nd 2.90

Computed properties:
D(E_F)	1.416	states/eV per atom
energy relative to the elements	-1369.0	meV per atom

[2]
A plane-wave DFT calculation with PBE was carried out for a geometry-optimized Ce2Ga4Cu3Pd structure.

Unit cell a=4.2648 b=4.2648 c=10.0233 alpha=90.00 beta=90.00 gamma=90.00
Last column: nearest neighbours and their distance in Å.
Positions (direct):
Ce (0.5000, 0.0000, 0.2492)  8 Ga 3.24-3.28, 6 Cu 3.25-3.30, 2 Pd 3.30
Ce (0.0000, 0.5000, 0.7508)  8 Ga 3.24-3.28, 6 Cu 3.25-3.30, 2 Pd 3.30
Ga (0.5000, 0.5000, 0.0000)  4 Cu 2.49
Ga (0.0000, 0.0000, 0.0000)  4 Cu 2.49
Ga (0.5000, 0.0000, 0.6329)  3 Cu 2.40-2.51, 2 Pd 2.51
Ga (0.0000, 0.5000, 0.3671)  3 Cu 2.40-2.51, 2 Pd 2.51
Cu (0.0000, 0.0000, 0.5000)  4 Ga 2.51
Cu (0.5000, 0.0000, 0.8719)  5 Ga 2.40-2.49
Cu (0.0000, 0.5000, 0.1281)  5 Ga 2.40-2.49
Pd (0.5000, 0.5000, 0.5000)  4 Ga 2.51

Computed properties:
D(E_F)	1.444	states/eV per atom
energy relative to the elements	-477.5	meV per atom

[3]
A plane-wave DFT calculation with PBE was carried out for a geometry-optimized BaMg2CuHg structure.

Unit cell a=5.1064 b=5.1064 c=5.2171 alpha=90.00 beta=90.00 gamma=90.00
Last column: nearest neighbours and their distance in Å.
Positions (direct):
Mg (0.0000, 0.5000, 0.0000)  2 Cu 2.55
Mg (0.5000, 0.0000, 0.0000)  2 Cu 2.55
Hg (0.0000, 0.0000, 0.5000)  2 Cu 2.61
Cu (0.0000, 0.0000, 0.0000)  4 Mg 2.55, 2 Hg 2.61
Ba (0.5000, 0.5000, 0.5000)  4 Hg 3.61, 8 Mg 3.65

Computed properties:
D(E_F)	0.748	states/eV per atom
energy relative to the elements	-98.2	meV per atom

[4]
A plane-wave DFT calculation with PBE was carried out for a geometry-optimized Tl3TeO structure.

Unit cell a=6.4562 b=6.4562 c=6.4562 alpha=90.00 beta=90.00 gamma=90.00
Last column: nearest neighbours and their distance in Å.
Positions (direct):
Tl (0.0000, 0.5000, 0.0000)  2 Te 3.23
Tl (0.0000, 0.0000, 0.5000)  2 Te 3.23
Tl (0.5000, 0.0000, 0.0000)  2 Te 3.23
Te (0.0000, 0.0000, 0.0000)  6 Tl 3.23
O (0.5000, 0.5000, 0.5000)  12 Tl 4.57

Computed properties:
D(E_F)	6.777	states/eV per atom
energy above the lowest structure with this stoichiometry	0.9047	eV/atom

[5]
A plane-wave DFT calculation with PBE was carried out for a geometry-optimized Li2AlB2Pt5 structure.

Unit cell a=3.0393 b=9.3852 c=9.3852 alpha=90.00 beta=90.00 gamma=90.00
Last column: nearest neighbours and their distance in Å.
Positions (direct):
Li (0.0000, 0.6744, 0.1744)  3 B 2.66-2.85, 6 Pt 2.77-2.83
Li (0.0000, 0.3256, 0.8256)  3 B 2.66-2.85, 6 Pt 2.77-2.83
Li (0.0000, 0.1744, 0.3256)  3 B 2.66-2.85, 6 Pt 2.77-2.83
Li (0.0000, 0.8256, 0.6744)  3 B 2.66-2.85, 6 Pt 2.77-2.83
Al (0.0000, 0.0000, 0.0000)  8 Pt 2.61
Al (0.0000, 0.5000, 0.5000)  8 Pt 2.61
B (0.0000, 0.1255, 0.6255)  6 Pt 2.20-2.25
B (0.0000, 0.8745, 0.3745)  6 Pt 2.20-2.25
B (0.0000, 0.6255, 0.8745)  6 Pt 2.20-2.25
B (0.0000, 0.3745, 0.1255)  6 Pt 2.20-2.25
Pt (0.5000, 0.2134, 0.0740)  2 B 2.20
Pt (0.5000, 0.7866, 0.9260)  2 B 2.20
Pt (0.5000, 0.0740, 0.7866)  2 B 2.20
Pt (0.5000, 0.7134, 0.4260)  2 B 2.20
Pt (0.5000, 0.9260, 0.2134)  2 B 2.20
Pt (0.5000, 0.2866, 0.5740)  2 B 2.20
Pt (0.5000, 0.5740, 0.7134)  2 B 2.20
Pt (0.5000, 0.4260, 0.2866)  2 B 2.20
Pt (0.5000, 0.5000, 0.0000)  4 B 2.25
Pt (0.5000, 0.0000, 0.5000)  4 B 2.25

Computed properties:
D(E_F)	0.202	states/eV per atom
energy relative to the elements	-624.8	meV per atom

[6]
A plane-wave DFT calculation with PBE was carried out for a geometry-optimized Pm2Ni4As3Ru structure.

Unit cell a=4.0695 b=4.0695 c=9.9610 alpha=90.00 beta=90.00 gamma=90.00
Last column: nearest neighbours and their distance in Å.
Positions (direct):
Pm (0.5000, 0.0000, 0.2455)  6 As 3.11-3.25, 8 Ni 3.11-3.18, 2 Ru 3.25
Pm (0.0000, 0.5000, 0.7545)  6 As 3.11-3.25, 8 Ni 3.11-3.18, 2 Ru 3.25
Ni (0.5000, 0.5000, 0.0000)  4 As 2.40
Ni (0.0000, 0.0000, 0.0000)  4 As 2.40
Ni (0.5000, 0.0000, 0.6350)  3 As 2.36-2.44, 2 Ru 2.44
Ni (0.0000, 0.5000, 0.3650)  3 As 2.36-2.44, 2 Ru 2.44
As (0.0000, 0.0000, 0.5000)  4 Ni 2.44
As (0.5000, 0.0000, 0.8720)  5 Ni 2.36-2.40
As (0.0000, 0.5000, 0.1280)  5 Ni 2.36-2.40
Ru (0.5000, 0.5000, 0.5000)  4 Ni 2.44

Computed properties:
D(E_F)	1.045	states/eV per atom
energy relative to the elements	-631.8	meV per atom

Q: The lowest D(E_F) belongs to which entry?
A: Li2AlB2Pt5

Q: What is the D(E_F) in the fourth record?
A: 6.777 states/eV per atom

Q: Which value of D(E_F) does entry 4 give?
A: 6.777 states/eV per atom